No. 1
Computed, not measured: crystalline Ac5Tl2Sn2 at its relaxed geometry at the PBE level of DFT.

symmetry = No. 64
energy above the lowest structure with this stoichiometry = 0 meV/atom
DFT total energy = -75.7 eV for the cell shown
energy of formation = -0.51 eV per atom

a = 9.7579 Å, b = 9.7579 Å, c = 8.8661 Å
α = 90.00°, β = 90.00°, γ = 54.00°
Last column: nearest neighbours and their distance in Å.
Fractional coordinates of all 18 atoms:
1 Ac 0.0000 0.0000 0.0000  4 Tl 3.50-3.51, 2 Sn 3.53
2 Ac 0.0301 0.6836 0.6690  3 Sn 3.42-3.47, 3 Tl 3.58-3.64
3 Ac 0.1836 0.5301 0.1690  3 Sn 3.42-3.47, 3 Tl 3.58-3.64
4 Ac 0.3164 0.9699 0.6690  3 Sn 3.42-3.47, 3 Tl 3.58-3.64
5 Ac 0.4699 0.8164 0.1690  3 Sn 3.42-3.47, 3 Tl 3.58-3.64
6 Ac 0.5000 0.5000 0.5000  4 Tl 3.50-3.51, 2 Sn 3.53
7 Ac 0.5301 0.1836 0.8310  3 Sn 3.42-3.47, 3 Tl 3.58-3.64
8 Ac 0.6836 0.0301 0.3310  3 Sn 3.42-3.47, 3 Tl 3.58-3.64
9 Ac 0.8164 0.4699 0.8310  3 Sn 3.42-3.47, 3 Tl 3.58-3.64
10 Ac 0.9699 0.3164 0.3310  3 Sn 3.42-3.47, 3 Tl 3.58-3.64
11 Tl 0.1234 0.8766 0.3755  1 Tl 3.11
12 Tl 0.3766 0.6234 0.8755  1 Tl 3.11
13 Tl 0.6234 0.3766 0.1245  1 Tl 3.11
14 Tl 0.8766 0.1234 0.6245  1 Tl 3.11
15 Sn 0.2029 0.2029 0.0000  7 Ac 3.42-3.53
16 Sn 0.2971 0.2971 0.5000  7 Ac 3.42-3.53
17 Sn 0.7029 0.7029 0.5000  7 Ac 3.42-3.53
18 Sn 0.7971 0.7971 0.0000  7 Ac 3.42-3.53

No. 2
Computed, not measured: crystalline Mo2RuRh at its relaxed geometry at the PBE level of DFT.

symmetry = No. 139
energy above the lowest structure with this stoichiometry = 0 meV/atom
DFT total energy = -38.6 eV for the cell shown
energy of formation = -0.08 eV per atom

a = 4.7533 Å, b = 4.7533 Å, c = 4.7533 Å
α = 131.23°, β = 131.23°, γ = 71.45°
Last column: nearest neighbours and their distance in Å.
Fractional coordinates of all 4 atoms:
1 Mo 0.2500 0.7500 0.5000  4 Ru 2.75, 4 Rh 2.75, 4 Mo 2.78
2 Mo 0.7500 0.2500 0.5000  4 Ru 2.75, 4 Rh 2.75, 4 Mo 2.78
3 Ru 0.0000 0.0000 0.0000  8 Mo 2.75, 4 Rh 2.78
4 Rh 0.5000 0.5000 0.0000  8 Mo 2.75, 4 Ru 2.78

No. 3
Computed, not measured: crystalline Sr4ErRu3O12 at its relaxed geometry at the PBE level of DFT.

symmetry = No. 229
ΔE_f (raw) = -2054 meV per atom
DFT total energy = -139.7 eV for the cell shown

a = 7.0417 Å, b = 7.0417 Å, c = 7.0417 Å
α = 109.47°, β = 109.47°, γ = 109.47°
Last column: nearest neighbours and their distance in Å.
Fractional coordinates of all 20 atoms:
1 Sr 0.0000 0.0000 0.5000  12 O 2.87-2.88
2 Sr 0.0000 0.5000 0.0000  12 O 2.87-2.88
3 Sr 0.5000 0.0000 0.0000  12 O 2.87-2.88
4 Sr 0.5000 0.5000 0.5000  12 O 2.87-2.88
5 Er 0.0000 0.0000 0.0000  6 O 2.13
6 Ru 0.0000 0.5000 0.5000  6 O 1.93-2.03
7 Ru 0.5000 0.0000 0.5000  6 O 1.93-2.03
8 Ru 0.5000 0.5000 0.0000  6 O 1.93-2.03
9 O 0.0000 0.2622 0.2622  1 Ru 1.93, 1 Er 2.13
10 O 0.0000 0.7378 0.7378  1 Ru 1.93, 1 Er 2.13
11 O 0.2500 0.5000 0.7500  2 Ru 2.03
12 O 0.2500 0.7500 0.5000  2 Ru 2.03
13 O 0.2622 0.0000 0.2622  1 Ru 1.93, 1 Er 2.13
14 O 0.2622 0.2622 0.0000  1 Ru 1.93, 1 Er 2.13
15 O 0.5000 0.2500 0.7500  2 Ru 2.03
16 O 0.5000 0.7500 0.2500  2 Ru 2.03
17 O 0.7378 0.0000 0.7378  1 Ru 1.93, 1 Er 2.13
18 O 0.7378 0.7378 0.0000  1 Ru 1.93, 1 Er 2.13
19 O 0.7500 0.2500 0.5000  2 Ru 2.03
20 O 0.7500 0.5000 0.2500  2 Ru 2.03

No. 4
Computed, not measured: crystalline Pr2Ga3Ni4Ge at its relaxed geometry at the PBE level of DFT.

symmetry = No. 115
DFT total energy = -52.1 eV for the cell shown
energy of formation = -0.57 eV per atom

a = 4.2264 Å, b = 4.2264 Å, c = 9.6832 Å
α = 90.00°, β = 90.00°, γ = 90.00°
Last column: nearest neighbours and their distance in Å.
Fractional coordinates of all 10 atoms:
1 Pr 0.0000 0.5000 0.2482  8 Ni 3.20-3.23, 6 Ga 3.22-3.23, 2 Ge 3.23
2 Pr 0.5000 0.0000 0.7518  8 Ni 3.20-3.23, 6 Ga 3.22-3.23, 2 Ge 3.23
3 Ga 0.0000 0.5000 0.8768  5 Ni 2.43
4 Ga 0.5000 0.0000 0.1232  5 Ni 2.43
5 Ga 0.5000 0.5000 0.5000  4 Ni 2.44
6 Ni 0.0000 0.0000 0.0000  4 Ga 2.43
7 Ni 0.0000 0.5000 0.6258  3 Ga 2.43-2.44, 2 Ge 2.44
8 Ni 0.5000 0.0000 0.3742  3 Ga 2.43-2.44, 2 Ge 2.44
9 Ni 0.5000 0.5000 0.0000  4 Ga 2.43
10 Ge 0.0000 0.0000 0.5000  4 Ni 2.44

No. 5
Computed, not measured: crystalline SrPt2Pb at its relaxed geometry at the PBE level of DFT.

symmetry = No. 47
DFT total energy = -19.0 eV for the cell shown
energy of formation = -0.38 eV per atom

a = 3.7507 Å, b = 3.7626 Å, c = 6.5516 Å
α = 90.00°, β = 90.00°, γ = 90.00°
Last column: nearest neighbours and their distance in Å.
Fractional coordinates of all 4 atoms:
1 Sr 0.0000 0.0000 0.0000  8 Pt 3.23, 2 Pb 3.28
2 Pt 0.5000 0.5000 0.2808  1 Pt 2.87, 4 Pb 3.02
3 Pt 0.5000 0.5000 0.7192  1 Pt 2.87, 4 Pb 3.02
4 Pb 0.0000 0.0000 0.5000  8 Pt 3.02, 2 Sr 3.28

No. 6
Computed, not measured: crystalline MgBe3P at its relaxed geometry at the PBE level of DFT.

symmetry = No. 221
energy above the lowest structure with this stoichiometry = 0 meV/atom
DFT total energy = -15.0 eV for the cell shown
energy of formation = 0.63 eV per atom

a = 4.1832 Å, b = 4.1832 Å, c = 4.1832 Å
α = 90.00°, β = 90.00°, γ = 90.00°
Last column: nearest neighbours and their distance in Å.
Fractional coordinates of all 5 atoms:
1 Mg 0.0000 0.0000 0.0000  12 Be 2.96
2 Be 0.0000 0.5000 0.5000  2 P 2.09
3 Be 0.5000 0.0000 0.5000  2 P 2.09
4 Be 0.5000 0.5000 0.0000  2 P 2.09
5 P 0.5000 0.5000 0.5000  6 Be 2.09

No. 7
Computed, not measured: crystalline Eu2Zn2P3 at its relaxed geometry at the PBE level of DFT.

symmetry = No. 12
DFT total energy = -90.4 eV for the cell shown
energy of formation = -0.84 eV per atom

a = 7.9837 Å, b = 7.9837 Å, c = 11.5079 Å
α = 125.19°, β = 125.19°, γ = 29.86°
Last column: nearest neighbours and their distance in Å.
Fractional coordinates of all 14 atoms:
1 Eu 0.1062 0.1062 0.4492  7 P 3.03-3.15, 3 Zn 3.25-3.27
2 Eu 0.2298 0.2298 0.8334  6 P 2.93-3.01
3 Eu 0.7702 0.7702 0.1666  6 P 2.93-3.01
4 Eu 0.8938 0.8938 0.5508  7 P 3.03-3.15, 3 Zn 3.25-3.27
5 Zn 0.0911 0.0911 0.1537  4 P 2.43-2.59
6 Zn 0.4560 0.4560 0.1825  4 P 2.45-2.58
7 Zn 0.5440 0.5440 0.8175  4 P 2.45-2.58
8 Zn 0.9089 0.9089 0.8463  4 P 2.43-2.59
9 P 0.1133 0.1133 0.9615  4 Zn 2.43-2.59
10 P 0.3468 0.3468 0.7003  3 Zn 2.46-2.49
11 P 0.4269 0.4269 0.3808  1 P 2.29
12 P 0.5731 0.5731 0.6192  1 P 2.29
13 P 0.6532 0.6532 0.2997  3 Zn 2.46-2.49
14 P 0.8867 0.8867 0.0385  4 Zn 2.43-2.59

No. 8
Computed, not measured: crystalline H4Se2I at its relaxed geometry at the PBE level of DFT.

symmetry = No. 1
DFT total energy = -43.9 eV for the cell shown

a = 7.2957 Å, b = 7.5936 Å, c = 8.0418 Å
α = 78.18°, β = 69.37°, γ = 63.48°
Last column: nearest neighbours and their distance in Å.
Fractional coordinates of all 14 atoms:
1 H 0.0000 0.0000 0.0000  1 Se 1.51
2 H 0.0613 0.2184 0.3601  1 Se 1.50
3 H 0.1393 0.5732 0.0745  1 I 1.71
4 H 0.5591 0.7622 0.7356  1 Se 1.49
5 H 0.6547 0.4575 0.5038  1 I 1.70
6 H 0.7481 0.9107 0.1596  1 Se 1.48
7 H 0.8112 0.8347 0.7245  1 Se 1.49
8 H 0.9307 0.4137 0.7720  1 Se 1.51
9 Se 0.1010 0.2126 0.7149  1 H 1.51
10 Se 0.6659 0.7563 0.8658  2 H 1.49
11 Se 0.9261 0.1677 0.5357  1 H 1.50
12 Se 0.9576 0.8816 0.1730  2 H 1.48-1.51
13 I 0.2862 0.3332 0.0204  1 H 1.71
14 I 0.4469 0.6692 0.4705  1 H 1.70

Number 1: size of the total moment 0.0 μB/cell. Number 2: size of the total moment 0.0 μB/cell. Number 3: size of the total moment 7.3 μB/cell. Number 4: size of the total moment 0.0 μB/cell. Number 5: size of the total moment 0.0 μB/cell. Number 6: size of the total moment 0.0 μB/cell. Number 7: size of the total moment 0.1 μB/cell. Number 8: size of the total moment 0.0 μB/cell.